Compound: La8Nd5Cd
Source: Alexandria via LeMat-Bulk
Functional: GGA-PBE
Structure: relaxed

Values from the calculation:
Formation energy ... 0.117 eV/atom
Space group ... No. 82
Magnetic moment ... 0.00 μB/f.u.

Cell: 8.8453 8.8453 8.8453 Å, 103.50 122.21 103.50°
Positions (direct):
1 La 0.0571 0.5257 0.9714
2 La 0.0286 0.0857 0.5542
3 La 0.7626 0.3408 0.4234
4 La 0.5766 0.3392 0.9174
5 La 0.5782 0.6608 0.2374
6 La 0.4685 0.9143 0.9429
7 La 0.4458 0.4743 0.5315
8 La 0.0826 0.6592 0.4218
9 Nd 0.9114 0.1954 0.0927
10 Nd 0.9073 0.8187 0.1027
11 Nd 0.8973 0.8046 0.7160
12 Nd 0.5000 0.0000 0.5000
13 Nd 0.2840 0.1813 0.0886
14 Cd 0.2500 0.5000 0.7500

Compound: Tb2SiI
Source: Alexandria via LeMat-Bulk
Functional: GGA-PBE
Structure: relaxed

Values from the calculation:
Space group ... No. 160
Formation energy without anion corrections ... -0.88 eV/atom
Energy above the lowest structure with this stoichiometry ... 22.6 meV per atom
Magnetic moment ... 0.00 μB/f.u.

Cell: 4.1841 4.1841 7.9795 Å, 74.80 74.80 60.00°
Positions (direct):
1 Tb 0.0644 0.0644 0.8067
2 Tb 0.2689 0.2689 0.1933
3 Si 0.6681 0.6681 0.9957
4 I 0.4986 0.4986 0.5043

Compound: KPaAuS4
Source: Alexandria via LeMat-Bulk
Functional: GGA-PBE
Structure: relaxed

Values from the calculation:
Space group ... No. 11
Formation energy without anion corrections ... -1.03 eV/atom
Magnetic moment ... 0.00 μB/f.u.

Cell: 7.0137 5.4597 9.7320 Å, 90.00 112.29 90.00°
Positions (direct):
1 K 0.7245 0.7500 0.9607
2 K 0.2755 0.2500 0.0393
3 Pa 0.7222 0.7500 0.4496
4 Pa 0.2778 0.2500 0.5504
5 Au 0.2101 0.7500 0.2643
6 Au 0.7899 0.2500 0.7357
7 S 0.0446 0.5145 0.6835
8 S 0.9554 0.0145 0.3165
9 S 0.9554 0.4855 0.3165
10 S 0.0446 0.9855 0.6835
11 S 0.4686 0.7500 0.1683
12 S 0.5314 0.2500 0.8317
13 S 0.4322 0.7500 0.5731
14 S 0.5678 0.2500 0.4269

Compound: Ca2GaAu4
Source: Alexandria via LeMat-Bulk
Functional: GGA-PBE
Structure: relaxed

Values from the calculation:
Formation energy ... -0.407 eV/atom
Space group ... No. 139
Magnetic moment ... 0.00 μB/f.u.

Cell: 4.8606 4.8606 8.4453 Å, 106.72 106.72 90.00°
Positions (direct):
1 Ca 0.6382 0.6382 0.2763
2 Ca 0.3618 0.3618 0.7237
3 Ga 0.0000 0.0000 0.0000
4 Au 0.8291 0.8291 0.6583
5 Au 0.1709 0.1709 0.3417
6 Au 0.0000 0.5000 0.0000
7 Au 0.5000 0.0000 0.0000

Compound: Ga2Sn2Se
Source: Alexandria via LeMat-Bulk
Functional: GGA-PBE
Structure: relaxed

Values from the calculation:
Space group ... No. 127
Formation energy without anion corrections ... 0.01 eV/atom
Energy above the lowest structure with this stoichiometry ... 12.3 meV per atom
Magnetic moment ... 0.00 μB/f.u.

Cell: 7.9992 7.9992 3.8914 Å, 90.00 90.00 90.00°
Positions (direct):
1 Ga 0.1181 0.6181 0.5000
2 Ga 0.6181 0.8819 0.5000
3 Ga 0.8819 0.3819 0.5000
4 Ga 0.3819 0.1181 0.5000
5 Sn 0.3114 0.8114 0.0000
6 Sn 0.8114 0.6886 0.0000
7 Sn 0.6886 0.1886 0.0000
8 Sn 0.1886 0.3114 0.0000
9 Se 0.0000 0.0000 0.0000
10 Se 0.5000 0.5000 0.0000

Compound: AlAg2Mo
Source: Alexandria via LeMat-Bulk
Functional: GGA-PBE
Structure: relaxed

Values from the calculation:
Formation energy ... 0.352 eV/atom
Space group ... No. 216
Magnetic moment ... 1.99 μB/f.u.

Cell: 4.5628 4.5628 4.5628 Å, 119.98 119.98 90.04°
Positions (direct):
1 Mo 0.7500 0.2500 0.5000
2 Al 0.5000 0.5000 0.0000
3 Ag 0.0000 0.0000 0.0000
4 Ag 0.2500 0.7500 0.5000

Copy entry 3 word for word.
Compound: KPaAuS4
Source: Alexandria via LeMat-Bulk
Functional: GGA-PBE
Structure: relaxed

Values from the calculation:
Space group ... No. 11
Formation energy without anion corrections ... -1.03 eV/atom
Magnetic moment ... 0.00 μB/f.u.

Cell: 7.0137 5.4597 9.7320 Å, 90.00 112.29 90.00°
Positions (direct):
1 K 0.7245 0.7500 0.9607
2 K 0.2755 0.2500 0.0393
3 Pa 0.7222 0.7500 0.4496
4 Pa 0.2778 0.2500 0.5504
5 Au 0.2101 0.7500 0.2643
6 Au 0.7899 0.2500 0.7357
7 S 0.0446 0.5145 0.6835
8 S 0.9554 0.0145 0.3165
9 S 0.9554 0.4855 0.3165
10 S 0.0446 0.9855 0.6835
11 S 0.4686 0.7500 0.1683
12 S 0.5314 0.2500 0.8317
13 S 0.4322 0.7500 0.5731
14 S 0.5678 0.2500 0.4269